# 1
Entry from Alexandria via LeMat-Bulk: an optimized crystal structure of B3C2 (GGA-PBE).

abc: 13.8221 2.6956 3.5461
angles: 90.00 95.18 90.00
Last column: nearest neighbours and their distance in Å.
Space group C2/m (No. 12)
One atom of each set of equivalent atoms:
B: 0.0253 0.0000 0.2433 (multiplicity 4)  6 B 1.79-1.96
B: 0.0596 0.5000 0.5588 (multiplicity 4)  1 C 1.60, 1 B 1.66
B: 0.1494 0.0000 0.0652 (multiplicity 4)  2 C 1.59
C: 0.1580 0.5000 0.8313 (multiplicity 4)  1 C 1.50, 3 B 1.59-1.60
C: 0.2448 0.5000 0.6067 (multiplicity 4)  3 C 1.50-1.56

Values from the calculation:
Offset from the most stable computed form = 0.216 eV/atom
E_tot = -7.269 eV/atom
E_form = 41 kJ per mole of atoms

---

# 2
Entry from Alexandria via LeMat-Bulk: an optimized crystal structure of BC (GGA-PBE).

abc: 8.6476 3.9778 5.0272
angles: 90.00 110.51 90.00
Last column: nearest neighbours and their distance in Å.
Space group C2 (No. 5)
One atom of each set of equivalent atoms:
B: 0.1515 0.0000 0.1101 (multiplicity 4)  2 C 1.58-1.61, 2 B 1.68-1.75
B: 0.1678 0.0182 0.5459 (multiplicity 4)  3 C 1.60-1.65
B: 0.1711 0.6749 0.8894 (multiplicity 4)  1 C 1.62, 2 B 1.68-1.75
C: 0.0000 0.2409 0.5000 (multiplicity 2)  2 C 1.56, 2 B 1.65
C: 0.0000 0.2510 0.0000 (multiplicity 2)  2 C 1.53, 2 B 1.58
C: 0.0009 0.4727 0.2504 (multiplicity 4)  3 C 1.53-1.56, 1 B 1.62
C: 0.1561 0.6994 0.3282 (multiplicity 4)  1 C 1.55, 3 B 1.60-1.65

Values from the calculation:
Offset from the most stable computed form = 0.257 eV/atom
E_tot = -7.543 eV/atom
E_form = 39 kJ per mole of atoms

---

# 3
Entry from Alexandria via LeMat-Bulk: an optimized crystal structure of B7C5 (GGA-PBE).

abc: 2.5909 2.5909 14.2102
angles: 90.00 90.00 120.00
Last column: nearest neighbours and their distance in Å.
Space group P3m1 (No. 156)
One atom of each set of equivalent atoms:
B: 0.0000 0.0000 0.0000 (multiplicity 1)  4 B 1.68-1.84
B: 0.0000 0.0000 0.1182 (multiplicity 1)  4 B 1.68-1.81
B: 0.0000 0.0000 0.6077 (multiplicity 1)  4 C 1.60-1.65
B: 0.3333 0.6667 0.1901 (multiplicity 1)  1 C 1.61
B: 0.3333 0.6667 0.7669 (multiplicity 1)  4 C 1.58-1.65
B: 0.6667 0.3333 0.4547 (multiplicity 1)  4 C 1.60-1.70
B: 0.6667 0.3333 0.9251 (multiplicity 1)  1 C 1.54
C: 0.0000 0.0000 0.4954 (multiplicity 1)  4 B 1.60
C: 0.3333 0.6667 0.3032 (multiplicity 1)  3 C 1.56, 1 B 1.61
C: 0.3333 0.6667 0.6560 (multiplicity 1)  4 B 1.58-1.65
C: 0.6667 0.3333 0.3353 (multiplicity 1)  3 C 1.56, 1 B 1.70
C: 0.6667 0.3333 0.8165 (multiplicity 1)  4 B 1.54-1.65

Values from the calculation:
Offset from the most stable computed form = 0.308 eV/atom
E_tot = -7.266 eV/atom
E_form = 46 kJ per mole of atoms

---

# 4
Entry from Alexandria via LeMat-Bulk: an optimized crystal structure of B7C5 (GGA-PBE).

abc: 12.2730 2.6619 5.4157
angles: 90.00 103.80 90.00
Last column: nearest neighbours and their distance in Å.
Space group Cm (No. 8)
One atom of each set of equivalent atoms:
B: 0.0000 0.0000 0.0000 (multiplicity 2)  2 C 1.67, 2 B 1.73-1.83
B: 0.0063 0.0000 0.3584 (multiplicity 2)  4 B 1.74-1.92
B: 0.0855 0.5000 0.5162 (multiplicity 2)  2 C 1.57-1.65, 2 B 1.75
B: 0.2416 0.0000 0.8485 (multiplicity 2)  4 C 1.62-1.74
B: 0.2487 0.0000 0.3519 (multiplicity 2)  2 C 1.56-1.57
B: 0.3726 0.5000 0.7431 (multiplicity 2)  2 C 1.54
B: 0.3820 0.5000 0.1218 (multiplicity 2)  2 C 1.58, 2 B 1.73-1.74
C: 0.0836 0.5000 0.0089 (multiplicity 2)  2 C 1.49-1.52
C: 0.1472 0.5000 0.8066 (multiplicity 2)  1 C 1.49, 1 B 1.57
C: 0.1513 0.5000 0.2838 (multiplicity 2)  1 C 1.52, 1 B 1.65
C: 0.3157 0.0000 0.1403 (multiplicity 2)  4 B 1.56-1.62
C: 0.3169 0.0000 0.6365 (multiplicity 2)  4 B 1.54-1.64

Values from the calculation:
Offset from the most stable computed form = 0.240 eV/atom
E_tot = -7.334 eV/atom
E_form = 39 kJ per mole of atoms

---

# 5
Entry from Alexandria via LeMat-Bulk: an optimized crystal structure of BC (GGA-PBE).

abc: 2.4796 2.4796 12.9528
angles: 90.00 90.00 90.00
Last column: nearest neighbours and their distance in Å.
Space group P-4m2 (No. 115)
One atom of each set of equivalent atoms:
B: 0.0000 0.0000 0.0000 (multiplicity 1)  4 B 1.81
B: 0.0000 0.0000 0.3367 (multiplicity 2)  4 C 1.63-1.67
B: 0.0000 0.5000 0.1014 (multiplicity 2)  2 C 1.66, 2 B 1.81
B: 0.5000 0.5000 0.5000 (multiplicity 1)  4 C 1.63
C: 0.0000 0.5000 0.4185 (multiplicity 2)  4 B 1.63
C: 0.0000 0.5000 0.7497 (multiplicity 2)  2 C 1.49, 2 B 1.67
C: 0.5000 0.5000 0.1862 (multiplicity 2)  2 C 1.49, 2 B 1.66

Values from the calculation:
Offset from the most stable computed form = 0.227 eV/atom
E_tot = -7.573 eV/atom
E_form = 36 kJ per mole of atoms

---

# 6
Entry from Alexandria via LeMat-Bulk: an optimized crystal structure of B7C5 (GGA-PBE).

abc: 13.6734 2.5214 4.7900
angles: 90.00 100.24 90.00
Last column: nearest neighbours and their distance in Å.
Space group Cm (No. 8)
One atom of each set of equivalent atoms:
B: 0.0000 0.0000 0.0000 (multiplicity 2)  1 C 1.65, 3 B 1.79-1.80
B: 0.0002 0.0000 0.4454 (multiplicity 2)  1 C 1.67, 3 B 1.81-1.84
B: 0.0945 0.5000 0.0587 (multiplicity 2)  4 B 1.70-1.85
B: 0.0967 0.5000 0.4881 (multiplicity 2)  4 B 1.74-1.85
B: 0.1881 0.5000 0.8231 (multiplicity 2)  2 C 1.67, 2 B 1.85
B: 0.1981 0.5000 0.3145 (multiplicity 2)  2 C 1.61, 2 B 1.70-1.74
B: 0.4074 0.5000 0.6814 (multiplicity 2)  2 C 1.61
C: 0.2689 0.0000 0.8582 (multiplicity 2)  2 C 1.47-1.52
C: 0.2731 0.0000 0.3586 (multiplicity 2)  2 C 1.46-1.50, 2 B 1.61
C: 0.3332 0.0000 0.6416 (multiplicity 2)  2 C 1.46-1.47, 2 B 1.61
C: 0.3396 0.0000 0.1405 (multiplicity 2)  4 C 1.50-1.54
C: 0.4054 0.5000 0.1723 (multiplicity 2)  2 C 1.54, 2 B 1.65-1.67

Values from the calculation:
Offset from the most stable computed form = 0.213 eV/atom
E_tot = -7.361 eV/atom
E_form = 36 kJ per mole of atoms

---

# 7
Entry from Alexandria via LeMat-Bulk: an optimized crystal structure of BC (GGA-PBE).

abc: 11.7077 2.5927 5.6381
angles: 90.00 107.60 90.00
Last column: nearest neighbours and their distance in Å.
Space group Cm (No. 8)
One atom of each set of equivalent atoms:
B: 0.0000 0.0000 0.0000 (multiplicity 2)  4 C 1.62-1.71
B: 0.0009 0.0000 0.4907 (multiplicity 2)  2 C 1.64-1.65
B: 0.1391 0.5000 0.7804 (multiplicity 2)  3 C 1.54-1.59
B: 0.2639 0.5000 0.2337 (multiplicity 2)  1 C 1.58, 2 B 1.71
B: 0.3284 0.0000 0.1247 (multiplicity 2)  1 C 1.54, 2 B 1.71
B: 0.3804 0.0000 0.4582 (multiplicity 2)  1 C 1.62, 1 B 1.79
C: 0.0701 0.0000 0.7933 (multiplicity 2)  4 B 1.54-1.65
C: 0.0784 0.0000 0.2928 (multiplicity 2)  2 C 1.57, 2 B 1.63-1.64
C: 0.1578 0.5000 0.3534 (multiplicity 2)  3 C 1.57, 1 B 1.58
C: 0.2358 0.5000 0.6340 (multiplicity 2)  3 C 1.57-1.58, 1 B 1.59
C: 0.3165 0.0000 0.6752 (multiplicity 2)  3 C 1.50-1.58, 1 B 1.62
C: 0.3998 0.0000 0.9368 (multiplicity 2)  1 C 1.50, 1 B 1.54

Values from the calculation:
Offset from the most stable computed form = 0.234 eV/atom
E_tot = -7.566 eV/atom
E_form = 37 kJ per mole of atoms

---

# 8
Entry from Alexandria via LeMat-Bulk: an optimized crystal structure of BC (GGA-PBE).

abc: 11.0812 2.6179 5.6444
angles: 90.00 98.88 90.00
Last column: nearest neighbours and their distance in Å.
Space group C2/m (No. 12)
One atom of each set of equivalent atoms:
B: 0.0265 0.0000 0.3559 (multiplicity 4)  1 C 1.59, 2 B 1.74
B: 0.1094 0.5000 0.5033 (multiplicity 4)  1 C 1.57, 2 B 1.74
B: 0.2120 0.5000 0.2059 (multiplicity 4)  3 C 1.60-1.61
C: 0.0450 0.0000 0.9111 (multiplicity 4)  3 C 1.52-1.58, 1 B 1.59
C: 0.1257 0.5000 0.9491 (multiplicity 4)  3 C 1.58-1.59, 1 B 1.61
C: 0.2055 0.5000 0.7378 (multiplicity 4)  3 B 1.57-1.60, 1 C 1.59

Values from the calculation:
Offset from the most stable computed form = 0.247 eV/atom
E_tot = -7.552 eV/atom
E_form = 38 kJ per mole of atoms

---

# 9
Entry from Alexandria via LeMat-Bulk: an optimized crystal structure of BC (GGA-PBE).

abc: 8.3905 2.7149 3.7977
angles: 90.00 90.00 90.00
Last column: nearest neighbours and their distance in Å.
Space group Pmma (No. 51)
One atom of each set of equivalent atoms:
B: 0.1221 0.0000 0.2106 (multiplicity 4)  3 C 1.58
B: 0.2500 0.5000 0.6891 (multiplicity 2)  2 C 1.59
C: 0.0700 0.5000 0.3868 (multiplicity 4)  1 C 1.46, 2 B 1.58
C: 0.2500 0.0000 0.9056 (multiplicity 2)  4 B 1.58-1.59

Values from the calculation:
Offset from the most stable computed form = 0.083 eV/atom
E_tot = -7.717 eV/atom
E_form = 23 kJ per mole of atoms

---

# 10
Entry from Alexandria via LeMat-Bulk: an optimized crystal structure of BC (GGA-PBE).

abc: 4.7143 2.6577 6.4873
angles: 90.00 97.97 90.00
Last column: nearest neighbours and their distance in Å.
Space group Pm (No. 6)
One atom of each set of equivalent atoms:
B: 0.0000 0.0000 0.0000 (multiplicity 1)  5 B 1.68-1.82
B: 0.0124 0.5000 0.1676 (multiplicity 1)  1 C 1.69, 5 B 1.71-1.85
B: 0.1787 0.5000 0.9250 (multiplicity 1)  1 C 1.56, 2 B 1.68
B: 0.2553 0.0000 0.2708 (multiplicity 1)  2 C 1.59-1.66
B: 0.6108 0.0000 0.9668 (multiplicity 1)  3 C 1.61-1.63
B: 0.9519 0.0000 0.5793 (multiplicity 1)  3 C 1.59-1.61
C: 0.2761 0.0000 0.5280 (multiplicity 1)  2 B 1.61-1.66, 2 C 1.62
C: 0.4541 0.5000 0.6087 (multiplicity 1)  4 C 1.51-1.62
C: 0.4751 0.5000 0.8436 (multiplicity 1)  1 C 1.51, 3 B 1.56-1.63
C: 0.5711 0.0000 0.2097 (multiplicity 1)  2 C 1.57, 2 B 1.59-1.61
C: 0.7228 0.5000 0.2949 (multiplicity 1)  3 C 1.57-1.58, 1 B 1.69
C: 0.7677 0.5000 0.5401 (multiplicity 1)  2 C 1.58-1.60, 2 B 1.59

Values from the calculation:
Offset from the most stable computed form = 0.298 eV/atom
E_tot = -7.502 eV/atom
E_form = 43 kJ per mole of atoms

---

# 11
Entry from Alexandria via LeMat-Bulk: an optimized crystal structure of BC (GGA-PBE).

abc: 3.8918 11.4828 3.6825
angles: 90.00 90.00 90.00
Last column: nearest neighbours and their distance in Å.
Space group C222_1 (No. 20)
One atom of each set of equivalent atoms:
B: 0.0000 0.0630 0.2500 (multiplicity 4)  2 C 1.60
B: 0.2186 0.3205 0.0260 (multiplicity 8)  3 C 1.57-1.68
C: 0.0000 0.2468 0.7500 (multiplicity 4)  4 B 1.57
C: 0.0000 0.4237 0.2500 (multiplicity 4)  2 C 1.53, 2 B 1.68
C: 0.2203 0.5000 0.5000 (multiplicity 4)  2 C 1.53, 2 B 1.60

Values from the calculation:
Offset from the most stable computed form = 0.177 eV/atom
E_tot = -7.623 eV/atom
E_form = 32 kJ per mole of atoms

---

# 12
Entry from Alexandria via LeMat-Bulk: an optimized crystal structure of BC (GGA-PBE).

abc: 3.6206 4.0139 5.8448
angles: 89.79 73.61 89.97
Last column: nearest neighbours and their distance in Å.
Space group P1 (No. 1)
One atom of each set of equivalent atoms:
B: 0.0000 0.0000 0.0000 (multiplicity 1)  3 C 1.68-1.69
B: 0.0189 0.6958 0.4910 (multiplicity 1)  2 C 1.54-1.57
B: 0.1787 0.3170 0.1823 (multiplicity 1)  2 C 1.55-1.62, 1 B 1.68
B: 0.3391 0.9917 0.3091 (multiplicity 1)  1 C 1.58, 1 B 1.68
B: 0.4712 0.3074 0.4841 (multiplicity 1)  2 C 1.62-1.64, 1 B 1.78
B: 0.6176 0.0352 0.7015 (multiplicity 1)  2 C 1.60-1.64
C: 0.1544 0.5120 0.6913 (multiplicity 1)  2 C 1.52-1.55, 2 B 1.57-1.64
C: 0.3400 0.7403 0.8347 (multiplicity 1)  2 C 1.52-1.53, 2 B 1.60-1.69
C: 0.5143 0.5239 0.9944 (multiplicity 1)  3 C 1.52-1.56, 1 B 1.62
C: 0.6572 0.7409 0.1650 (multiplicity 1)  2 C 1.50-1.52, 1 B 1.58
C: 0.8241 0.5242 0.3195 (multiplicity 1)  1 C 1.50, 3 B 1.54-1.62
C: 0.8309 0.2866 0.8455 (multiplicity 1)  2 C 1.55-1.56, 2 B 1.64-1.68

Values from the calculation:
Offset from the most stable computed form = 0.210 eV/atom
E_tot = -7.590 eV/atom
E_form = 35 kJ per mole of atoms

---

Copy entry 1 word for word.
Entry from Alexandria via LeMat-Bulk: an optimized crystal structure of B3C2 (GGA-PBE).

abc: 13.8221 2.6956 3.5461
angles: 90.00 95.18 90.00
Last column: nearest neighbours and their distance in Å.
Space group C2/m (No. 12)
One atom of each set of equivalent atoms:
B: 0.0253 0.0000 0.2433 (multiplicity 4)  6 B 1.79-1.96
B: 0.0596 0.5000 0.5588 (multiplicity 4)  1 C 1.60, 1 B 1.66
B: 0.1494 0.0000 0.0652 (multiplicity 4)  2 C 1.59
C: 0.1580 0.5000 0.8313 (multiplicity 4)  1 C 1.50, 3 B 1.59-1.60
C: 0.2448 0.5000 0.6067 (multiplicity 4)  3 C 1.50-1.56

Values from the calculation:
Offset from the most stable computed form = 0.216 eV/atom
E_tot = -7.269 eV/atom
E_form = 41 kJ per mole of atoms